Density functional theory data (PBE-GGA) for a relaxed Sc3UOs4 crystal.

a = 4.620 Å, b = 4.620 Å, c = 13.058 Å
α = 90.00°, β = 90.00°, γ = 90.00°
Space group I4/mmm (No. 139)
Symmetry-distinct sites (fractional):
Sc1 0.000 0.000 0.000
Sc2 0.000 0.000 0.248
U1 0.000 0.000 0.500
Os1 0.000 0.500 0.122

## Properties
The value obtained for the energy relative to the elements is -0.385 eV per atom.

Density functional theory data (PBE-GGA) for a relaxed TiCr crystal.

a = 7.142 Å, b = 7.142 Å, c = 7.142 Å
α = 90.00°, β = 90.00°, γ = 90.00°
Space group I-43m (No. 217)
Symmetry-distinct sites (fractional):
Ti1 0.225 0.225 0.225
Cr1 0.117 0.117 0.883

## Properties
The value obtained for the energy relative to the elements is 1.607 eV per atom.

Density functional theory data (PBE-GGA) for a relaxed PmDyY3Er crystal.

a = 5.043 Å, b = 15.146 Å, c = 10.096 Å
α = 90.00°, β = 90.00°, γ = 90.00°
Space group Cmcm (No. 63)
Symmetry-distinct sites (fractional):
Pm1 0.000 0.001 0.250
Dy1 0.000 0.500 0.000
Y1 0.000 0.166 0.000
Y2 0.000 0.333 0.250
Er1 0.000 0.333 0.750

## Properties
The value obtained for the energy relative to the elements is 0.022 eV per atom.